Entry A
## BeAlP2 (PBE)

Data for a geometry-optimized BeAlP2 structure.

Calculated values
Symmetry = R-3m (166)
M_tot = 0.0 Bohr magnetons per cell

a = 8.5776 Å, b = 8.5776 Å, c = 8.5776 Å
α = 18.70°, β = 18.70°, γ = 18.70°
With the nearest neighbours (Å) after each atom.
Positions (direct):
Be  0.0000  0.0000  0.0000  6 P 2.33
Al  0.5000  0.5000  0.5000  6 Al 2.79, 6 P 3.00
P  0.2668  0.2668  0.2668  3 Be 2.33
P  0.7332  0.7332  0.7332  3 Be 2.33

Entry B
## BeAlP2 (PBE)

Data for a geometry-optimized BeAlP2 structure.

Calculated values
Symmetry = Cmmm (65)
M_tot = 0.0 Bohr magnetons per cell

a = 3.0409 Å, b = 3.0409 Å, c = 6.6216 Å
α = 90.00°, β = 90.00°, γ = 111.60°
With the nearest neighbours (Å) after each atom.
Positions (direct):
Be  0.0000  0.0000  0.0000  4 P 2.27
Al  0.0000  0.0000  0.5000  4 P 2.50
P  0.5000  0.5000  0.2252  2 Be 2.27, 2 Al 2.50
P  0.5000  0.5000  0.7748  2 Be 2.27, 2 Al 2.50

Entry C
## BeAlP2 (PBE)

Data for a geometry-optimized BeAlP2 structure.

Calculated values
Symmetry = Pm (6)
M_tot = 0.0 Bohr magnetons per cell

a = 3.7639 Å, b = 3.7640 Å, c = 5.0631 Å
α = 90.00°, β = 90.07°, γ = 90.00°
With the nearest neighbours (Å) after each atom.
Positions (direct):
Be  0.0000  0.0000  0.0000  4 P 2.18
Al  0.5002  0.5000  0.5000  4 P 2.36
P  0.0007  0.5000  0.7828  2 Be 2.18, 2 Al 2.36
P  0.5004  0.0000  0.2173  2 Be 2.18, 2 Al 2.36

Entry D
## BeAlP2 (PBE)

Data for a geometry-optimized BeAlP2 structure.

Calculated values
Symmetry = I-4m2 (119)
M_tot = 0.0 Bohr magnetons per cell

a = 5.5503 Å, b = 5.5503 Å, c = 5.5503 Å
α = 144.46°, β = 144.46°, γ = 51.14°
With the nearest neighbours (Å) after each atom.
Positions (direct):
Be  0.0000  0.0000  0.0000  4 P 2.40
Al  0.7500  0.2500  0.5000  4 P 2.40
P  0.2500  0.7500  0.5000  4 Al 2.40
P  0.5000  0.5000  0.0000  4 Be 2.40

We find entry C to be the most stable, with the next structure 0.505 eV/atom higher.

Entry A
## BeAlP2 (PBE)

Data for a geometry-optimized BeAlP2 structure.

Calculated values
Symmetry = Pmmm (47)
M_tot = 0.0 Bohr magnetons per cell

a = 3.3558 Å, b = 3.4222 Å, c = 5.0102 Å
α = 90.00°, β = 90.00°, γ = 90.00°
With the nearest neighbours (Å) after each atom.
Positions (direct):
Be  0.0000  0.0000  0.0000  4 P 2.40
Al  0.0000  0.5000  0.5000  4 P 2.40
P  0.5000  0.0000  0.5000  4 Al 2.40
P  0.5000  0.5000  0.0000  4 Be 2.40

Entry B
## BeAlP2 (PBE)

Data for a geometry-optimized BeAlP2 structure.

Calculated values
Symmetry = P4mm (99)
M_tot = 0.0 Bohr magnetons per cell

a = 2.5968 Å, b = 2.5968 Å, c = 8.5464 Å
α = 90.00°, β = 90.00°, γ = 90.00°
With the nearest neighbours (Å) after each atom.
Positions (direct):
Be  0.0000  0.0000  0.0000  4 P 2.42, 4 Al 2.58, 4 Be 2.60
Al  0.5000  0.5000  0.7880  4 Be 2.58, 4 Al 2.60, 4 P 2.77
P  0.0000  0.0000  0.5460  4 P 2.60, 4 Al 2.77
P  0.5000  0.5000  0.1843  4 Be 2.42, 4 P 2.60

Entry C
## BeAlP2 (PBE)

Data for a geometry-optimized BeAlP2 structure.

Calculated values
Symmetry = P4/mmm (123)
M_tot = 0.0 Bohr magnetons per cell

a = 3.2047 Å, b = 3.2047 Å, c = 5.1711 Å
α = 90.00°, β = 90.00°, γ = 90.00°
With the nearest neighbours (Å) after each atom.
Positions (direct):
Be  0.0000  0.0000  0.0000  8 P 2.53, 2 Al 2.59
Al  0.0000  0.0000  0.5000  2 Be 2.59, 8 P 2.70
P  0.5000  0.5000  0.2159  1 P 2.23
P  0.5000  0.5000  0.7841  1 P 2.23

We find entry C to be the most stable, with the next structure 0.056 eV/atom higher.

Entry A
## BeAlP (PBE)

Data for a geometry-optimized BeAlP structure.

Calculated values
Symmetry = P-3m1 (164)
M_tot = 0.0 Bohr magnetons per cell

a = 3.5319 Å, b = 3.5319 Å, c = 8.2878 Å
α = 90.00°, β = 90.00°, γ = 120.00°
With the nearest neighbours (Å) after each atom.
Positions (direct):
Be  0.3333  0.6667  0.0806  4 P 2.20-2.21, 3 Be 2.44
Be  0.6667  0.3333  0.9194  4 P 2.20-2.21, 3 Be 2.44
Al  0.3333  0.6667  0.3866  1 Be 2.54, 3 P 2.64, 3 Al 2.77
Al  0.6667  0.3333  0.6134  1 Be 2.54, 3 P 2.64, 3 Al 2.77
P  0.3333  0.6667  0.8151  4 Be 2.20-2.21
P  0.6667  0.3333  0.1849  4 Be 2.20-2.21

Entry B
## BeAlP (PBE)

Data for a geometry-optimized BeAlP structure.

Calculated values
Symmetry = Fmm2 (42)
M_tot = 0.0 Bohr magnetons per cell

a = 5.5906 Å, b = 5.4179 Å, c = 2.8537 Å
α = 78.35°, β = 71.65°, γ = 30.00°
With the nearest neighbours (Å) after each atom.
Positions (direct):
Be  0.0000  0.0000  0.0000  2 P 2.18
Al  0.6731  0.6731  0.3269  2 Be 2.50, 2 P 2.72
P  0.3748  0.3748  0.6252  2 Be 2.18

Entry C
## BeAlP (PBE)

Data for a geometry-optimized BeAlP structure.

Calculated values
Symmetry = P3m1 (156)
M_tot = 0.0 Bohr magnetons per cell

a = 3.5303 Å, b = 3.5303 Å, c = 8.2268 Å
α = 90.00°, β = 90.00°, γ = 120.00°
With the nearest neighbours (Å) after each atom.
Positions (direct):
Be  0.0000  0.0000  0.0000  4 P 2.19-2.22, 3 Be 2.44
Be  0.3333  0.6667  0.8361  4 P 2.20-2.22, 3 Be 2.44
Al  0.0000  0.0000  0.3057  1 Be 2.51, 3 P 2.62, 3 Al 2.76
Al  0.6667  0.3333  0.5326  3 P 2.63, 3 Al 2.76
P  0.0000  0.0000  0.7340  4 Be 2.19-2.20
P  0.3333  0.6667  0.1054  4 Be 2.22

Entry D
## BeAlP (PBE)

Data for a geometry-optimized BeAlP structure.

Calculated values
Symmetry = P3m1 (156)
M_tot = 0.0 Bohr magnetons per cell

a = 3.4430 Å, b = 3.4430 Å, c = 4.1826 Å
α = 90.00°, β = 90.00°, γ = 120.00°
With the nearest neighbours (Å) after each atom.
Positions (direct):
Be  0.0000  0.0000  0.0000  3 P 2.13
Al  0.3333  0.6667  0.4177  3 P 2.60, 3 Be 2.65
P  0.6667  0.3333  0.8190  3 Be 2.13

We find entry A to be the most stable, with the next structure 0.011 eV/atom higher.

Entry A
## BeAlP (PBE)

Data for a geometry-optimized BeAlP structure.

Calculated values
Symmetry = F-43m (216)
M_tot = 0.0 Bohr magnetons per cell

a = 4.0471 Å, b = 4.0471 Å, c = 4.0471 Å
α = 60.00°, β = 60.00°, γ = 60.00°
With the nearest neighbours (Å) after each atom.
Positions (direct):
Be  0.0000  0.0000  0.0000  4 Al 2.48
Al  0.7500  0.7500  0.7500  4 P 2.48, 4 Be 2.48
P  0.5000  0.5000  0.5000  4 Al 2.48

Entry B
## BeAlP (PBE)

Data for a geometry-optimized BeAlP structure.

Calculated values
Symmetry = Cm (8)
M_tot = 0.0 Bohr magnetons per cell

a = 4.5823 Å, b = 4.5823 Å, c = 3.1125 Å
α = 108.14°, β = 108.14°, γ = 39.71°
With the nearest neighbours (Å) after each atom.
Positions (direct):
Be  0.0000  0.0000  0.0000  4 P 2.36-2.40, 1 Al 2.49
Al  0.3055  0.3055  0.2944  5 Be 2.49-2.76, 5 P 2.49-2.72
P  0.6114  0.6114  0.6099  4 Be 2.36-2.40, 1 Al 2.49

We find entry B to be the most stable, with the next structure 0.190 eV/atom higher.